The following is a GGA-PBEsol calculation of a relaxed structure of Cs2RbSmCl6, from Alexandria via LeMat-Bulk.

Computed properties:
Formation energy from raw total energies, eV/f.u.: -21.0
M_tot, μB per formula unit: 0.0
Energy, Ry per atom: -0.3019

Cell lengths 8.086, 8.086, 8.086 Å; angles 60.00, 60.00, 60.00 degrees
Element x y z (fractional)
Cs 0.250 0.250 0.250
Cs 0.750 0.750 0.750
Rb 0.000 0.000 0.000
Sm 0.500 0.500 0.500
Cl 0.267 0.267 0.733
Cl 0.267 0.733 0.267
Cl 0.267 0.733 0.733
Cl 0.733 0.267 0.267
Cl 0.733 0.267 0.733
Cl 0.733 0.733 0.267